VASP calculation (PBE+U) on crystalline CrSN2O at its relaxed geometry.

Cell: 3.8146 3.8146 3.7690 Å, 90.00 90.00 90.00°
Space group P4/mmm (No. 123)
Unique sites:
Cr1 0.0000 0.0000 0.0000 x1
S1 0.5000 0.5000 0.0000 x1
N1 0.0000 0.5000 0.5000 x2
O1 0.5000 0.5000 0.5000 x1

Results
Magnetization in μB per formula unit: 1.87
E_tot in eV/atom: -4.901